(1)
A relaxed SiGe2N crystal, computed with PBE-GGA.

The uncorrected formation energy is 1.13 eV per atom. Its energy relative to the lowest polymorph listed for this composition is 0.749 eV/atom. The calculation puts the total magnetization at 0.00 μB per formula unit. The total energy is -18.5 eV/cell.

a = 4.3470 Å, b = 4.3470 Å, c = 4.3470 Å
α = 60.00°, β = 60.00°, γ = 60.00°
With the nearest neighbours (Å) after each atom.
Atoms (fractional coordinates):
Ge 0.7500 0.7500 0.7500  4 Si 2.66, 4 N 2.66
Ge 0.2500 0.2500 0.2500  4 Si 2.66, 4 N 2.66
Si 0.5000 0.5000 0.5000  8 Ge 2.66
N 0.0000 0.0000 0.0000  8 Ge 2.66

(2)
A relaxed Sm4SiGeN crystal, computed with PBE-GGA.

The uncorrected formation energy is -0.84 eV per atom. The calculation puts the total magnetization at 0.00 μB per formula unit. The total energy is -86.2 eV/cell.

a = 6.6823 Å, b = 6.6822 Å, c = 8.4660 Å
α = 90.00°, β = 113.24°, γ = 90.00°
With the nearest neighbours (Å) after each atom.
Atoms (fractional coordinates):
Sm 0.0809 0.7500 0.1617  1 N 2.60
Sm 0.9191 0.2500 0.8383  1 N 2.60
Sm 0.0000 0.0000 0.5000  2 N 2.36
Sm 0.0000 0.5000 0.5000  2 N 2.36
Sm 0.5000 0.0000 0.5000  2 N 2.36
Sm 0.5792 0.2500 0.1584  1 N 2.69, 1 Si 2.99
Sm 0.4208 0.7500 0.8416  1 N 2.69, 1 Si 2.99
Sm 0.5000 0.5000 0.5000  2 N 2.36
Si 0.6133 0.7500 0.2266  5 Sm 2.99-3.18
Si 0.3867 0.2500 0.7734  5 Sm 2.99-3.18
Ge 0.1121 0.2500 0.2242  5 Sm 3.00-3.19
Ge 0.8879 0.7500 0.7758  5 Sm 3.00-3.19
N 0.2481 0.7500 0.4962  5 Sm 2.36-2.60
N 0.7519 0.2500 0.5038  5 Sm 2.36-2.60

(3)
A relaxed TaSi2GeN crystal, computed with PBE-GGA.

The uncorrected formation energy is 0.46 eV per atom. The calculation puts the total magnetization at 0.00 μB per formula unit. The total energy is -33.3 eV/cell.

a = 3.8657 Å, b = 4.5429 Å, c = 3.8657 Å
α = 90.00°, β = 90.00°, γ = 90.00°
With the nearest neighbours (Å) after each atom.
Atoms (fractional coordinates):
Ta 0.5000 0.5000 0.5000  4 Ge 2.73, 8 Si 2.98
Ge 0.0000 0.5000 0.0000  2 N 2.27
N 0.0000 0.0000 0.0000  4 Si 1.93
Si 0.0000 0.0000 0.5000  2 N 1.93
Si 0.5000 0.0000 0.0000  2 N 1.93

(4)
A relaxed SiTcGeN2 crystal, computed with PBE-GGA.

The uncorrected formation energy is 0.79 eV per atom. The calculation puts the total magnetization at 0.00 μB per formula unit. The total energy is -33.1 eV/cell.

a = 3.8104 Å, b = 5.3080 Å, c = 3.8104 Å
α = 90.00°, β = 90.00°, γ = 90.00°
With the nearest neighbours (Å) after each atom.
Atoms (fractional coordinates):
Tc 0.0000 0.0000 0.0000  4 N 1.91
Si 0.5000 0.5000 0.5000  4 Ge 2.69
Ge 0.0000 0.5000 0.0000  2 Tc 2.65, 4 Si 2.69
N 0.5000 0.0000 0.0000  2 Tc 1.91
N 0.0000 0.0000 0.5000  2 Tc 1.91